Computed, not measured: a relaxed BaTl3Cr crystal at the PBE level of DFT.

- ΔE_f: 1153 meV/atom

extended XYZ file:
```
5
Lattice="6.3844 0.0000 0.0000 0.0000 6.3844 0.0000 0.0000 0.0000 6.3844" Properties=species:S:1:pos:R:3 pbc="T T T"
Tl 0.0000 3.1922 0.0000
Tl 3.1922 0.0000 0.0000
Tl 0.0000 0.0000 3.1922
Ba 0.0000 0.0000 0.0000
Cr 3.1922 3.1922 3.1922
```

=====

Computed, not measured: a relaxed Si2OsPt crystal at the PBE level of DFT.

- Formation energy from raw total energies: -0.223 eV per atom

extended XYZ file:
```
4
Lattice="-2.3270 -1.0794 -1.6944 1.9493 -0.5856 -2.3040 0.9200 -5.3330 2.1338" Properties=species:S:1:pos:R:3 pbc="T T T"
Os 0.0411 -2.1657 -1.4658
Si 0.4563 -2.6447 1.0582
Si 0.0038 -0.0218 0.0087
Pt 0.5012 -4.8322 -0.3989
```